(1)
The following is a PBE calculation of an optimized crystal structure of Li2SbAu, from Alexandria via LeMat-Bulk.

The space group is P4/mmm (No. 123) and the conventional cell measures 4.541, 4.541 and 3.383 Å, with angles of 90.00, 90.00 and 90.00 degrees. Symmetry generates all atoms from Li at (0.000, 0.500, 0.000), Sb at (0.000, 0.000, 0.500) and Au at (0.500, 0.500, 0.500).

As for the total magnetic moment: 0.00 μB per cell. As for the uncorrected formation energy: -45.05 kJ per mole of atoms.

(2)
The following is a PBE calculation of an optimized crystal structure of Li4SbAu2, from Alexandria via LeMat-Bulk.

The space group is Cmmm (No. 65) and the conventional cell measures 4.801, 13.586 and 4.796 Å, with angles of 90.00, 90.00 and 90.00 degrees. Symmetry generates all atoms from Li at (0.000, 0.103, 0.000), Li at (0.000, 0.388, 0.500), Sb at (0.000, 0.000, 0.500) and Au at (0.000, 0.298, 0.000).

As for the total magnetic moment: 0.00 μB per cell. As for the uncorrected formation energy: -32.37 kJ per mole of atoms. The energy above the most stable polymorph in this dataset is 13.63 kJ/mol of atoms.

(3)
The following is a PBE calculation of an optimized crystal structure of LiSb2Au, from Alexandria via LeMat-Bulk.

The space group is Amm2 (No. 38) and the conventional cell measures 3.089, 8.663 and 6.781 Å, with angles of 90.00, 90.00 and 90.00 degrees. Symmetry generates all atoms from Li at (0.000, 0.000, 0.000), Sb at (0.500, 0.202, 0.686) and Au at (0.500, 0.000, 0.349).

As for the total magnetic moment: 0.00 μB per cell. As for the uncorrected formation energy: -22.67 kJ per mole of atoms. The energy above the most stable polymorph in this dataset is 0.69 kJ/mol of atoms.

(4)
The following is a PBE calculation of an optimized crystal structure of Li2SbAu, from Alexandria via LeMat-Bulk.

The space group is I-42d (No. 122) and the conventional cell measures 7.576, 7.576 and 5.641 Å, with angles of 90.00, 90.00 and 90.00 degrees. Symmetry generates all atoms from Li at (0.224, 0.250, 0.125), Sb at (0.000, 0.000, 0.500) and Au at (0.000, 0.000, 0.000).

As for the total magnetic moment: 0.00 μB per cell. As for the uncorrected formation energy: -28.67 kJ per mole of atoms.

(5)
The following is a PBE calculation of an optimized crystal structure of LiSbAu, from Alexandria via LeMat-Bulk.

The space group is I4mm (No. 107) and the conventional cell measures 3.802, 3.802 and 8.247 Å, with angles of 90.00, 90.00 and 90.00 degrees. Symmetry generates all atoms from Li at (0.000, 0.000, 0.000), Sb at (0.000, 0.000, 0.327) and Au at (0.000, 0.000, 0.665).

As for the total magnetic moment: 0.00 μB per cell. As for the uncorrected formation energy: -30.75 kJ per mole of atoms. The energy above the most stable polymorph in this dataset is 13.94 kJ/mol of atoms.

(6)
The following is a PBE calculation of an optimized crystal structure of Li4SbAu2, from Alexandria via LeMat-Bulk.

The space group is R-3m (No. 166, hexagonal axes) and the conventional cell measures 4.5450, 4.5450 and 21.0486 Å, with angles of 90.00, 90.00 and 120.00 degrees. Symmetry generates all atoms from Li at (0.0000, 0.0000, 0.0971), Li at (0.0000, 0.0000, 0.3653), Sb at (0.0000, 0.0000, 0.5000) and Au at (0.0000, 0.0000, 0.2399).

As for the total magnetic moment: 0.00 μB per cell. As for the uncorrected formation energy: -46.00 kJ per mole of atoms. The energy above the most stable polymorph in this dataset is 0.00 kJ/mol of atoms.

(7)
The following is a PBE calculation of an optimized crystal structure of LiSbAu6, from Alexandria via LeMat-Bulk.

The space group is P-6m2 (No. 187) and the conventional cell measures 5.9131, 5.9131 and 4.9201 Å, with angles of 90.00, 90.00 and 120.00 degrees. Symmetry generates all atoms from Li at (0.0000, 0.0000, 0.0000), Sb at (0.3333, 0.6667, 0.5000), Au at (0.3261, 0.1630, 0.5000) and Au at (0.5029, 0.0058, 0.0000).

As for the total magnetic moment: 0.00 μB per cell. As for the uncorrected formation energy: -12.74 kJ per mole of atoms. The energy above the most stable polymorph in this dataset is 1.20 kJ/mol of atoms.

(8)
The following is a PBE calculation of an optimized crystal structure of LiSb2Au, from Alexandria via LeMat-Bulk.

The space group is P4/mmm (No. 123) and the conventional cell measures 4.570, 4.570 and 4.204 Å, with angles of 90.00, 90.00 and 90.00 degrees. Symmetry generates all atoms from Li at (0.000, 0.000, 0.000), Sb at (0.000, 0.500, 0.500) and Au at (0.500, 0.500, 0.000).

As for the total magnetic moment: 0.00 μB per cell. As for the uncorrected formation energy: -18.30 kJ per mole of atoms. The energy above the most stable polymorph in this dataset is 5.05 kJ/mol of atoms.

Repeat the second record exactly.
The following is a PBE calculation of an optimized crystal structure of Li4SbAu2, from Alexandria via LeMat-Bulk.

The space group is Cmmm (No. 65) and the conventional cell measures 4.801, 13.586 and 4.796 Å, with angles of 90.00, 90.00 and 90.00 degrees. Symmetry generates all atoms from Li at (0.000, 0.103, 0.000), Li at (0.000, 0.388, 0.500), Sb at (0.000, 0.000, 0.500) and Au at (0.000, 0.298, 0.000).

As for the total magnetic moment: 0.00 μB per cell. As for the uncorrected formation energy: -32.37 kJ per mole of atoms. The energy above the most stable polymorph in this dataset is 13.63 kJ/mol of atoms.

Repeat the fourth record exactly.
The following is a PBE calculation of an optimized crystal structure of Li2SbAu, from Alexandria via LeMat-Bulk.

The space group is I-42d (No. 122) and the conventional cell measures 7.576, 7.576 and 5.641 Å, with angles of 90.00, 90.00 and 90.00 degrees. Symmetry generates all atoms from Li at (0.224, 0.250, 0.125), Sb at (0.000, 0.000, 0.500) and Au at (0.000, 0.000, 0.000).

As for the total magnetic moment: 0.00 μB per cell. As for the uncorrected formation energy: -28.67 kJ per mole of atoms.

Copy entry 3 word for word.
The following is a PBE calculation of an optimized crystal structure of LiSb2Au, from Alexandria via LeMat-Bulk.

The space group is Amm2 (No. 38) and the conventional cell measures 3.089, 8.663 and 6.781 Å, with angles of 90.00, 90.00 and 90.00 degrees. Symmetry generates all atoms from Li at (0.000, 0.000, 0.000), Sb at (0.500, 0.202, 0.686) and Au at (0.500, 0.000, 0.349).

As for the total magnetic moment: 0.00 μB per cell. As for the uncorrected formation energy: -22.67 kJ per mole of atoms. The energy above the most stable polymorph in this dataset is 0.69 kJ/mol of atoms.